Computed, not measured: a relaxed structure of CdPbW2 at the PBE level of DFT.

Unit cell a=5.0438 b=5.0438 c=5.6470 alpha=84.44 beta=84.44 gamma=33.51
Last column: nearest neighbours and their distance in Å.
Sites, in units of the cell vectors:
Pb 0.2501 0.2501 0.2516  3 Cd 2.90-3.09, 2 Pb 2.91, 5 W 3.04-3.12
W 0.7550 0.7550 0.7738  5 W 2.70-2.97, 2 Cd 3.00
W 0.9997 0.9997 0.9653  5 W 2.70-2.97, 2 Cd 2.96
Cd 0.4952 0.4952 0.5093  3 Pb 2.90-3.09, 2 Cd 2.91, 5 W 2.96-3.05

Density of states at the Fermi level: 0.85 states/eV per atom
Magnetic moment: 0.0 μB per formula unit
DFT formation energy: 0.9605 eV per atom
Total DFT energy (no corrections): -6.6720 eV per atom
SG: Cm

Computed, not measured: a relaxed structure of CdPbW2 at the PBE level of DFT.

Unit cell a=5.2557 b=5.2557 c=5.1240 alpha=82.10 beta=82.10 gamma=36.70
Last column: nearest neighbours and their distance in Å.
Sites, in units of the cell vectors:
W 0.0035 0.0035 0.9328  2 W 2.51
W 0.4965 0.4965 0.5672  2 W 2.51
Cd 0.7500 0.7500 0.7500  6 W 2.82-3.00, 4 Pb 3.05
Pb 0.2500 0.2500 0.2500  4 Cd 3.05, 6 W 3.14-3.25, 2 Pb 3.31

Density of states at the Fermi level: 0.47 states/eV per atom
Magnetic moment: 0.0 μB per formula unit
DFT formation energy: 0.8819 eV per atom
Total DFT energy (no corrections): -6.7506 eV per atom
SG: C2/m

Computed, not measured: a relaxed structure of CdPb4W at the PBE level of DFT.

Unit cell a=6.3395 b=6.3395 c=6.3395 alpha=60.00 beta=60.00 gamma=60.00
Last column: nearest neighbours and their distance in Å.
Sites, in units of the cell vectors:
Pb 0.8722 0.3759 0.3759  6 Pb 3.15-3.19
Pb 0.3759 0.3759 0.3759  6 Pb 3.15-3.19
Pb 0.3759 0.3759 0.8722  6 Pb 3.15-3.19
Pb 0.3759 0.8722 0.3759  6 Pb 3.15-3.19
Cd 0.0000 0.0000 0.0000  12 Pb 3.72, 4 W 3.88
W 0.7500 0.7500 0.7500  12 Pb 3.71, 4 Cd 3.88

Density of states at the Fermi level: 0.70 states/eV per atom
Magnetic moment: 3.5 μB per formula unit
DFT formation energy: 1.0668 eV per atom
Total DFT energy (no corrections): -3.7168 eV per atom
SG: F-43m

Computed, not measured: a relaxed structure of CdPb3W at the PBE level of DFT.

Unit cell a=5.4462 b=5.4462 c=5.4462 alpha=90.00 beta=90.00 gamma=90.00
Last column: nearest neighbours and their distance in Å.
Sites, in units of the cell vectors:
Pb 0.0000 0.0000 0.5000  2 W 2.72
Pb 0.5000 0.0000 0.0000  2 W 2.72
Pb 0.0000 0.5000 0.0000  2 W 2.72
Cd 0.5000 0.5000 0.5000  12 Pb 3.85
W 0.0000 0.0000 0.0000  6 Pb 2.72

Density of states at the Fermi level: 0.24 states/eV per atom
Magnetic moment: 0.0 μB per formula unit
DFT formation energy: 0.5714 eV per atom
Total DFT energy (no corrections): -4.4273 eV per atom
SG: Pm-3m

Computed, not measured: a relaxed structure of CdPbW2 at the PBE level of DFT.

Unit cell a=5.4933 b=5.4933 c=5.4933 alpha=136.75 beta=136.75 gamma=62.82
Last column: nearest neighbours and their distance in Å.
Sites, in units of the cell vectors:
Cd 0.2500 0.7500 0.5000  4 Pb 2.86, 8 W 3.10
W 0.0000 0.0000 0.0000  4 W 2.86, 4 Cd 3.10, 4 Pb 3.10
W 0.5000 0.5000 0.0000  4 W 2.86, 4 Pb 3.10, 4 Cd 3.10
Pb 0.7500 0.2500 0.5000  4 Cd 2.86, 8 W 3.10

Density of states at the Fermi level: 0.79 states/eV per atom
Magnetic moment: 0.0 μB per formula unit
DFT formation energy: 1.0981 eV per atom
Total DFT energy (no corrections): -6.5344 eV per atom
SG: I4/mmm

Computed, not measured: a relaxed structure of Cd3PbW at the PBE level of DFT.

Unit cell a=5.5844 b=5.5844 c=5.5844 alpha=90.00 beta=90.00 gamma=90.00
Last column: nearest neighbours and their distance in Å.
Sites, in units of the cell vectors:
W 0.5000 0.5000 0.5000  12 Cd 3.95
Pb 0.0000 0.0000 0.0000  6 Cd 2.79
Cd 0.5000 0.0000 0.0000  2 Pb 2.79
Cd 0.0000 0.5000 0.0000  2 Pb 2.79
Cd 0.0000 0.0000 0.5000  2 Pb 2.79

Density of states at the Fermi level: 0.61 states/eV per atom
Magnetic moment: 4.5 μB per formula unit
DFT formation energy: 1.6701 eV per atom
Total DFT energy (no corrections): -2.2113 eV per atom
SG: Pm-3m

Computed, not measured: a relaxed structure of CdPbW2 at the PBE level of DFT.

Unit cell a=3.2847 b=4.8279 c=4.8325 alpha=90.00 beta=90.00 gamma=90.00
Last column: nearest neighbours and their distance in Å.
Sites, in units of the cell vectors:
Cd 0.5000 0.0000 0.5000  4 Pb 2.92, 4 W 2.92
W 0.0000 0.0000 0.0000  4 W 2.92, 4 Cd 2.92
W 0.5000 0.5000 0.0000  4 W 2.92, 4 Pb 2.92
Pb 0.0000 0.5000 0.5000  4 Cd 2.92, 4 W 2.92

Density of states at the Fermi level: 0.63 states/eV per atom
Magnetic moment: 0.0 μB per formula unit
DFT formation energy: 0.9984 eV per atom
Total DFT energy (no corrections): -6.6341 eV per atom
SG: Pmmm

Computed, not measured: a relaxed structure of CdPbW2 at the PBE level of DFT.

Unit cell a=4.7352 b=4.7352 c=4.7352 alpha=60.00 beta=60.00 gamma=60.00
Last column: nearest neighbours and their distance in Å.
Sites, in units of the cell vectors:
W 0.2500 0.2500 0.2500  4 Cd 2.90, 4 Pb 2.90
W 0.7500 0.7500 0.7500  4 Cd 2.90, 4 Pb 2.90
Pb 0.5000 0.5000 0.5000  8 W 2.90
Cd 0.0000 0.0000 0.0000  8 W 2.90

Density of states at the Fermi level: 1.06 states/eV per atom
Magnetic moment: 0.0 μB per formula unit
DFT formation energy: 1.2551 eV per atom
Total DFT energy (no corrections): -6.3774 eV per atom
SG: Fm-3m

Q: Look up the magnetic moment of the seventh one.
A: 0.0 μB per formula unit

Q: Which value of magnetic moment does entry 5 give?
A: 0.0 μB per formula unit

Q: Which value of DFT formation energy does entry 4 give?
A: 0.5714 eV per atom

Q: Among the records above, which one has the highest total DFT energy (no corrections)?
A: Cd3PbW